Density functional theory data (GGA-PBE) for an optimized crystal structure of SrLa3.

Cell: 12.9510 12.9510 12.9510 Å, 16.94 16.94 16.94°
Fractional coordinates of all 4 atoms:
La (0.7560, 0.7560, 0.7560)
La (0.5000, 0.5000, 0.5000)
Sr (0.0000, 0.0000, 0.0000)
La (0.2440, 0.2440, 0.2440)

- raw total energy (eV per atom) = -4.05
- symmetry = R-3m